Computed, not measured: a relaxed YMgAsPd2 crystal at the PBE level of DFT.

Results
- final energy (eV per atom) = -3.77
- space group = P4/mmm
- volume (Å³/cell) = 142.09

Lattice parameters (Å, degrees): 4.956 5.784 4.956 90.00 90.00 90.00
Positions (direct):
Y (0.000, 0.000, 0.000)
Mg (0.000, 0.500, 0.000)
Pd (0.500, 0.000, 0.000)
Pd (0.000, 0.000, 0.500)
As (0.500, 0.500, 0.500)

---

Computed, not measured: a relaxed Ca4RePt crystal at the PBE level of DFT.

Results
- final energy (eV per atom) = -3.36
- space group = F-43m
- volume (Å³/cell) = 148.62

Lattice parameters (Å, degrees): 5.946 5.946 5.946 60.00 60.00 60.00
Positions (direct):
Ca (0.375, 0.876, 0.375)
Pt (0.750, 0.750, 0.750)
Ca (0.375, 0.375, 0.375)
Ca (0.375, 0.375, 0.876)
Ca (0.876, 0.375, 0.375)
Re (0.000, 0.000, 0.000)

---

Computed, not measured: a relaxed NaNpAs2 crystal at the PBE level of DFT.

Results
- final energy (eV per atom) = -6.27
- space group = R3m
- volume (Å³/cell) = 105.42

Lattice parameters (Å, degrees): 4.174 4.174 7.391 73.60 73.60 60.00
Positions (direct):
Np (0.669, 0.669, 0.994)
Na (0.496, 0.496, 0.513)
As (0.265, 0.265, 0.204)
As (0.071, 0.071, 0.788)

---

> The lowest volume belongs to which entry?

NaNpAs2